1.
A plane-wave DFT calculation with PBE-GGA was carried out for FePdRh2 after structural relaxation.

Unit cell a=6.885 b=6.885 c=5.508 alpha=51.32 beta=51.32 gamma=90.00
Each line ends with the local moment (μB).
Fractional coordinates of all 8 atoms:
1 Fe 0.500 0.500 0.000  2.47
2 Fe 0.250 0.750 0.500  2.46
3 Pd 0.750 0.250 0.500  -0.04
4 Pd 0.000 0.000 0.000  -0.04
5 Rh 0.165 0.625 0.250  0.03
6 Rh 0.375 0.415 0.750  0.04
7 Rh 0.585 0.125 0.250  0.02
8 Rh 0.875 0.835 0.750  0.05

Results
Space-group type: I-42d (122)
Magnetization: 0.629 μB per atom
Calculated formation energy: 0.40 eV/atom

2.
A plane-wave DFT calculation with PBE-GGA was carried out for FePd3Rh after structural relaxation.

Unit cell a=7.537 b=7.537 c=5.360 alpha=45.33 beta=45.33 gamma=60.00
Each line ends with the local moment (μB).
Fractional coordinates of all 10 atoms:
1 Fe 0.376 0.376 0.873  3.01
2 Fe 0.624 0.624 0.127  3.01
3 Rh 0.870 0.870 0.391  0.67
4 Rh 0.130 0.130 0.609  0.67
5 Pd 0.079 0.421 0.762  0.27
6 Pd 0.739 0.079 0.762  0.27
7 Pd 0.261 0.921 0.238  0.27
8 Pd 0.579 0.261 0.238  0.27
9 Pd 0.921 0.579 0.238  0.27
10 Pd 0.421 0.739 0.762  0.27

Results
Space-group type: R-3 (148)
Magnetization: 0.900 μB per atom
Calculated formation energy: 0.21 eV/atom

3.
A plane-wave DFT calculation with PBE-GGA was carried out for FePd4Rh2 after structural relaxation.

Unit cell a=6.589 b=6.588 c=6.593 alpha=109.65 beta=109.11 gamma=109.62
Each line ends with the local moment (μB).
Fractional coordinates of all 14 atoms:
1 Pd 0.795 0.258 0.891  0.12
2 Pd 0.633 0.743 0.537  0.12
3 Pd 0.117 0.404 0.359  0.12
4 Pd 0.463 0.096 0.205  0.12
5 Pd 0.955 0.595 0.713  0.12
6 Pd 0.110 0.905 0.367  0.12
7 Pd 0.641 0.758 0.045  0.12
8 Pd 0.287 0.243 0.883  0.12
9 Fe 0.750 0.500 0.250  3.13
10 Fe 0.000 0.000 0.000  3.13
11 Rh 0.259 0.634 0.125  -0.08
12 Rh 0.491 0.366 0.625  -0.08
13 Rh 0.875 0.134 0.509  -0.08
14 Rh 0.375 0.866 0.741  -0.08

Results
Space-group type: I-42d (122)
Magnetization: 0.496 μB per atom
Calculated formation energy: 0.36 eV/atom

4.
A plane-wave DFT calculation with PBE-GGA was carried out for Fe6Pd12Rh after structural relaxation.

Unit cell a=7.095 b=7.095 c=7.095 alpha=107.74 beta=107.74 gamma=107.74
Each line ends with the local moment (μB).
Fractional coordinates of all 19 atoms:
1 Fe 0.417 0.214 0.115  3.24
2 Fe 0.214 0.115 0.417  3.24
3 Fe 0.786 0.885 0.583  3.24
4 Fe 0.885 0.583 0.786  3.24
5 Fe 0.115 0.417 0.214  3.24
6 Fe 0.583 0.786 0.885  3.24
7 Pd 0.510 0.612 0.194  0.35
8 Pd 0.612 0.194 0.510  0.35
9 Pd 0.820 0.068 0.291  0.31
10 Pd 0.490 0.388 0.806  0.35
11 Pd 0.180 0.932 0.709  0.31
12 Pd 0.068 0.291 0.820  0.31
13 Pd 0.806 0.490 0.388  0.35
14 Pd 0.388 0.806 0.490  0.35
15 Pd 0.709 0.180 0.932  0.31
16 Pd 0.932 0.709 0.180  0.31
17 Pd 0.194 0.510 0.612  0.35
18 Pd 0.291 0.820 0.068  0.31
19 Rh 0.000 0.000 0.000  0.85

Results
Space-group type: R-3 (148)
Magnetization: 1.265 μB per atom
Calculated formation energy: 0.07 eV/atom

5.
A plane-wave DFT calculation with PBE-GGA was carried out for FePdRh2 after structural relaxation.

Unit cell a=2.717 b=2.717 c=8.873 alpha=81.19 beta=81.19 gamma=60.00
Each line ends with the local moment (μB).
Fractional coordinates of all 4 atoms:
1 Rh 0.089 0.089 0.734  0.03
2 Rh 0.245 0.245 0.266  0.08
3 Pd 0.667 0.667 0.000  -0.08
4 Fe 0.500 0.500 0.500  2.62

Results
Space-group type: R3m (160)
Magnetization: 0.669 μB per atom
Calculated formation energy: 0.01 eV/atom

6.
A plane-wave DFT calculation with PBE-GGA was carried out for FePdRh2 after structural relaxation.

Unit cell a=2.720 b=2.720 c=8.869 alpha=81.18 beta=81.18 gamma=60.00
Each line ends with the local moment (μB).
Fractional coordinates of all 4 atoms:
1 Pd 0.500 0.500 0.500  -0.09
2 Rh 0.255 0.255 0.234  0.12
3 Rh 0.745 0.745 0.766  0.12
4 Fe 0.000 0.000 0.000  2.70

Results
Space-group type: R-3m (166)
Magnetization: 0.719 μB per atom
Calculated formation energy: 0.00 eV/atom

7.
A plane-wave DFT calculation with PBE-GGA was carried out for Fe2Pd2Rh after structural relaxation.

Unit cell a=6.020 b=6.020 c=3.821 alpha=90.00 beta=90.00 gamma=90.00
Fractional coordinates of all 10 atoms:
1 Fe 0.380 0.880 0.000
2 Fe 0.880 0.620 0.000
3 Fe 0.120 0.380 0.000
4 Fe 0.620 0.120 0.000
5 Rh 0.000 0.000 0.000
6 Rh 0.500 0.500 0.000
7 Pd 0.324 0.176 0.500
8 Pd 0.176 0.676 0.500
9 Pd 0.824 0.324 0.500
10 Pd 0.676 0.824 0.500

Results
Space-group type: P4/mbm (127)
Magnetization: 0.000 μB per atom
Calculated formation energy: 0.40 eV/atom

8.
A plane-wave DFT calculation with PBE-GGA was carried out for Fe4Pd5Rh2 after structural relaxation.

Unit cell a=3.855 b=9.588 c=4.749 alpha=78.43 beta=113.94 gamma=90.00
Each line ends with the local moment (μB).
Fractional coordinates of all 11 atoms:
1 Pd 0.221 0.904 0.442  0.35
2 Pd 0.500 0.000 0.000  0.32
3 Pd 0.779 0.096 0.558  0.35
4 Pd 0.139 0.552 0.278  0.31
5 Pd 0.861 0.448 0.722  0.31
6 Fe 0.052 0.182 0.104  3.11
7 Fe 0.310 0.276 0.620  3.09
8 Fe 0.690 0.724 0.380  3.09
9 Fe 0.948 0.818 0.896  3.11
10 Rh 0.582 0.355 0.163  0.79
11 Rh 0.418 0.645 0.837  0.79

Results
Space-group type: C2/m (12)
Magnetization: 1.415 μB per atom
Calculated formation energy: -0.04 eV/atom

9.
A plane-wave DFT calculation with PBE-GGA was carried out for FePdRh6 after structural relaxation.

Unit cell a=3.841 b=3.841 c=7.646 alpha=90.00 beta=90.00 gamma=90.00
Each line ends with the local moment (μB).
Fractional coordinates of all 8 atoms:
1 Pd 0.000 0.000 0.000  -0.12
2 Rh 0.500 0.000 0.257  0.04
3 Rh 0.000 0.500 0.743  0.04
4 Rh 0.500 0.500 0.500  0.22
5 Rh 0.000 0.500 0.257  0.04
6 Rh 0.500 0.000 0.743  0.04
7 Rh 0.500 0.500 0.000  -0.08
8 Fe 0.000 0.000 0.500  2.94

Results
Space-group type: P4/mmm (123)
Magnetization: 0.386 μB per atom
Calculated formation energy: 0.02 eV/atom

10.
A plane-wave DFT calculation with PBE-GGA was carried out for Fe2Pd2Rh3 after structural relaxation.

Unit cell a=2.718 b=2.720 c=13.553 alpha=90.00 beta=95.75 gamma=90.00
Each line ends with the local moment (μB).
Fractional coordinates of all 7 atoms:
1 Rh 0.571 0.500 0.143  0.17
2 Rh 0.000 0.000 0.000  -0.29
3 Rh 0.429 0.500 0.857  0.17
4 Fe 0.138 0.000 0.276  2.93
5 Fe 0.862 0.000 0.724  2.93
6 Pd 0.295 0.500 0.589  0.33
7 Pd 0.705 0.500 0.411  0.33

Results
Space-group type: Cmmm (65)
Magnetization: 0.935 μB per atom
Calculated formation energy: 0.00 eV/atom

11.
A plane-wave DFT calculation with PBE-GGA was carried out for FePd4Rh after structural relaxation.

Unit cell a=8.758 b=5.308 c=5.308 alpha=119.08 beta=63.24 gamma=116.76
Each line ends with the local moment (μB).
Fractional coordinates of all 12 atoms:
1 Rh 0.000 0.500 0.500  0.83
2 Rh 0.500 0.750 0.750  0.83
3 Pd 0.815 0.153 0.845  0.30
4 Pd 0.185 0.845 0.153  0.30
5 Pd 0.815 0.662 0.340  0.30
6 Pd 0.185 0.340 0.662  0.30
7 Pd 0.685 0.588 0.910  0.30
8 Pd 0.315 0.910 0.588  0.30
9 Pd 0.685 0.097 0.405  0.30
10 Pd 0.315 0.405 0.097  0.30
11 Fe 0.500 0.250 0.250  3.32
12 Fe 0.000 0.000 0.000  3.32

Results
Space-group type: Fddd (70)
Magnetization: 0.891 μB per atom
Calculated formation energy: 0.09 eV/atom

12.
A plane-wave DFT calculation with PBE-GGA was carried out for FePdRuRh2 after structural relaxation.

Unit cell a=4.699 b=4.690 c=4.699 alpha=90.00 beta=90.00 gamma=90.00
Each line ends with the local moment (μB).
Fractional coordinates of all 5 atoms:
1 Rh 0.500 0.000 0.000  -0.59
2 Rh 0.000 0.000 0.500  -0.95
3 Pd 0.000 0.000 0.000  -0.52
4 Ru 0.000 0.500 0.000  -1.85
5 Fe 0.500 0.500 0.500  0.08

Results
Space-group type: P4/mmm (123)
Magnetization: 0.762 μB per atom
Calculated formation energy: 2.25 eV/atom